NdPa2CuO8: relaxed, GGA-PBE.

Output
Calculated volume = 150.6 Å³/cell
Space-group type = P-3m1, No. 164
E_form (uncorrected) = -2473 meV per atom

```
NdPa2CuO8
1.0
5.207 0.000 0.000
-2.603 4.509 0.000
0.000 0.000 6.415
Nd Pa Cu O
1 2 1 8
Direct
0.000 0.000 0.000 Nd
0.333 0.667 0.370 Pa
0.667 0.333 0.630 Pa
0.000 0.000 0.500 Cu
0.172 0.344 0.676 O
0.172 0.828 0.676 O
0.333 0.667 0.072 O
0.344 0.172 0.324 O
0.656 0.828 0.676 O
0.667 0.333 0.928 O
0.828 0.172 0.324 O
0.828 0.656 0.324 O
```

=====

Ti4ZnTc3: relaxed, GGA-PBE.

Output
Calculated volume = 120.9 Å³/cell
Space-group type = Pmmm, No. 47
Formation energy from the elements = -0.447 eV per atom

```
Ti4ZnTc3
1.0
3.176 0.000 0.000
0.000 4.388 0.000
0.000 0.000 8.671
Ti Zn Tc
4 1 3
Direct
0.000 0.000 0.000 Ti
0.000 0.000 0.500 Ti
0.000 0.500 0.240 Ti
0.000 0.500 0.760 Ti
0.500 0.500 0.500 Zn
0.500 0.000 0.257 Tc
0.500 0.000 0.743 Tc
0.500 0.500 0.000 Tc
```

=====

SnPC2: relaxed, GGA-PBE.

Output
ΔE to the lowest computed polymorph = 0.000 eV per formula unit
Calculated volume = 206.4 Å³/cell
Space-group type = I-42d, No. 122
Formation energy from the elements = 0.832 eV per atom

```
SnPC2
1.0
4.994 0.000 0.000
0.000 4.994 0.000
0.000 0.000 8.278
Sn P C
4 4 8
Direct
0.000 0.000 0.000 Sn
0.000 0.500 0.250 Sn
0.500 0.000 0.750 Sn
0.500 0.500 0.500 Sn
0.000 0.000 0.500 P
0.000 0.500 0.750 P
0.500 0.000 0.250 P
0.500 0.500 0.000 P
0.157 0.250 0.625 C
0.250 0.657 0.875 C
0.250 0.843 0.375 C
0.343 0.250 0.125 C
0.657 0.750 0.125 C
0.750 0.157 0.375 C
0.750 0.343 0.875 C
0.843 0.750 0.625 C
```

=====

ScWSe2: relaxed, GGA-PBE.

Output
ΔE to the lowest computed polymorph = 1.157 eV per formula unit
Calculated volume = 73.7 Å³/cell
Space-group type = P2/m, No. 10
E_form (uncorrected) = -278 meV per atom

```
ScWSe2
1.0
4.233 0.000 0.000
0.000 3.337 0.000
-1.535 0.000 5.216
Sc W Se
1 1 2
Direct
0.000 0.000 0.000 Sc
0.500 0.500 0.500 W
0.000 0.000 0.500 Se
0.500 0.500 0.000 Se
```

=====

Tb2Y3Er6Mg: relaxed, GGA-PBE.

Output
Calculated volume = 368.0 Å³/cell
Space-group type = C2/m, No. 12
Formation energy from the elements = 0.033 eV per atom

```
Tb2Y3Er6Mg
1.0
3.043 -5.274 0.000
3.043 5.274 0.000
-2.046 0.000 11.465
Tb Y Er Mg
2 3 6 1
Direct
0.166 0.834 0.000 Tb
0.834 0.166 0.000 Tb
0.000 0.000 0.500 Y
0.334 0.666 0.500 Y
0.666 0.334 0.500 Y
0.085 0.418 0.752 Er
0.249 0.249 0.249 Er
0.418 0.085 0.752 Er
0.582 0.915 0.248 Er
0.751 0.751 0.751 Er
0.915 0.582 0.248 Er
0.500 0.500 0.000 Mg
```

=====

VNiAu: relaxed, GGA-PBE.

Output
ΔE to the lowest computed polymorph = 0.101 eV per formula unit
Calculated volume = 167.7 Å³/cell
Space-group type = C2/m, No. 12
Formation energy from the elements = -0.026 eV per atom

```
VNiAu
1.0
4.749 0.000 0.000
0.000 8.149 0.000
-1.685 0.000 4.333
V Ni Au
4 4 4
Direct
0.000 0.000 0.000 V
0.000 0.500 0.500 V
0.500 0.000 0.500 V
0.500 0.500 0.000 V
0.000 0.157 0.500 Ni
0.000 0.843 0.500 Ni
0.500 0.343 0.500 Ni
0.500 0.657 0.500 Ni
0.000 0.332 0.000 Au
0.000 0.668 0.000 Au
0.500 0.168 0.000 Au
0.500 0.832 0.000 Au
```

=====

ZnCoAs2: relaxed, GGA-PBE.

Output
Calculated volume = 130.1 Å³/cell
Space-group type = Imm2, No. 44
Formation energy from the elements = 0.051 eV per atom

```
ZnCoAs2
1.0
2.830 0.000 0.000
0.000 3.682 0.000
0.000 0.000 12.482
Zn Co As
2 2 4
Direct
0.000 0.000 0.000 Zn
0.500 0.500 0.500 Zn
0.000 0.500 0.277 Co
0.500 0.000 0.777 Co
0.000 0.000 0.623 As
0.000 0.500 0.842 As
0.500 0.000 0.342 As
0.500 0.500 0.123 As
```

=====

SrCoOs2: relaxed, GGA-PBE.

Output
ΔE to the lowest computed polymorph = 1.360 eV per formula unit
Calculated volume = 146.7 Å³/cell
Space-group type = Amm2, No. 38
Formation energy from the elements = 0.607 eV per atom

```
SrCoOs2
1.0
4.158 0.000 0.000
0.000 2.833 0.000
0.000 0.000 12.455
Sr Co Os
2 2 4
Direct
0.000 0.000 0.000 Sr
0.000 0.500 0.500 Sr
0.500 0.000 0.645 Co
0.500 0.500 0.145 Co
0.000 0.000 0.747 Os
0.000 0.500 0.247 Os
0.500 0.000 0.314 Os
0.500 0.500 0.814 Os
```